(1)
# PBE La2ZrSe, optimized geometry
data_La2ZrSe
_chemical_formula_sum 'La4 Zr2 Se2'
_symmetry_space_group_name_H-M 'I m m m'
_symmetry_Int_Tables_number 71
_symmetry_space_group_name_Hall '-I 2 2'
_cell_length_a 3.528
_cell_length_b 4.637
_cell_length_c 13.450
_cell_angle_alpha 90.00
_cell_angle_beta 90.00
_cell_angle_gamma 90.00
loop_
_atom_site_label
_atom_site_type_symbol
_atom_site_fract_x
_atom_site_fract_y
_atom_site_fract_z
La1 La 0.000 0.000 0.188
Zr1 Zr 0.000 0.500 0.000
Se1 Se 0.000 0.500 0.500
# - E: -5.86 eV/atom

***

(2)
# PBE LaZr2Se, optimized geometry
data_LaZr2Se
_chemical_formula_sum 'La2 Zr4 Se2'
_symmetry_space_group_name_H-M 'C 1 2/m 1'
_symmetry_Int_Tables_number 12
_cell_length_a 10.570
_cell_length_b 3.438
_cell_length_c 5.439
_cell_angle_alpha 90.00
_cell_angle_beta 105.92
_cell_angle_gamma 90.00
loop_
_symmetry_equiv_pos_as_xyz
'x,y,z'
'-x,-y,-z'
'-x,y,-z'
'x,-y,z'
'x+1/2,y+1/2,z'
'-x+1/2,-y+1/2,-z'
'-x+1/2,y+1/2,-z'
'x+1/2,-y+1/2,z'
loop_
_atom_site_label
_atom_site_type_symbol
_atom_site_fract_x
_atom_site_fract_y
_atom_site_fract_z
La1 La 0.000 0.000 0.000
Zr1 Zr 0.222 0.000 0.718
Se1 Se 0.000 0.500 0.500
# - E: -6.84 eV/atom

***

(3)
# PBE La2ZrSe, optimized geometry
data_La2ZrSe
_chemical_formula_sum 'La4 Zr2 Se2'
_symmetry_space_group_name_H-M 'I m m m'
_symmetry_Int_Tables_number 71
_symmetry_space_group_name_Hall '-I 2 2'
_cell_length_a 4.143
_cell_length_b 5.446
_cell_length_c 9.845
_cell_angle_alpha 90.00
_cell_angle_beta 90.00
_cell_angle_gamma 90.00
loop_
_atom_site_label
_atom_site_type_symbol
_atom_site_fract_x
_atom_site_fract_y
_atom_site_fract_z
La1 La 0.000 0.000 0.243
Zr1 Zr 0.000 0.500 0.000
Se1 Se 0.000 0.500 0.500
# - E: -5.74 eV/atom